Entry from Alexandria: a geometry-optimized KVPt2Cl structure (PBE).

Properties
space-group type	P4/mmm, No. 123
total moment	0.01	μB/f.u.
E_form (uncorrected)	1827	meV per atom
Fermi-level density of states	7.186	states/eV/f.u.
energy	-3.002	eV per atom
volume	130.2	Å³ per cell

Cell lengths 4.995, 4.995, 5.219 Å; angles 90.00, 90.00, 90.00 degrees
Element x y z (fractional)
K 0.000 0.000 0.000
Cl 0.000 0.000 0.500
V 0.500 0.500 0.500
Pt 0.500 0.000 0.000
Pt 0.000 0.500 0.000

---

Entry from Alexandria: a geometry-optimized CdIn2Cu structure (PBE).

Properties
space-group type	Immm, No. 71
total moment	0.00	μB/f.u.
Fermi-level density of states	1.662	states/eV/f.u.
energy	-2.557	eV per atom
volume	90.8	Å³ per cell
formation energy from the elements	0.065	eV per atom

Cell lengths 7.074, 7.074, 7.074 Å; angles 154.84, 142.78, 45.46 degrees
Element x y z (fractional)
In 0.567 0.567 0.000
In 0.933 0.933 0.000
Cu 0.750 0.250 0.500
Cd 0.250 0.750 0.500

---

Entry from Alexandria: a geometry-optimized BeZnPt2 structure (PBE).

Properties
space-group type	I-4m2, No. 119
total moment	0.00	μB/f.u.
Fermi-level density of states	1.681	states/eV/f.u.
energy	-4.632	eV per atom
volume	54.9	Å³ per cell
formation energy from the elements	-0.362	eV per atom

Cell lengths 4.899, 4.899, 4.899 Å; angles 136.56, 136.56, 63.12 degrees
Element x y z (fractional)
Be 0.750 0.250 0.500
Pt 0.000 0.000 0.000
Pt 0.250 0.750 0.500
Zn 0.500 0.500 0.000

---

Entry from Alexandria: a geometry-optimized CrFeOs2 structure (PBE).

Properties
space-group type	Imm2, No. 44
total moment	3.25	μB/f.u.
Fermi-level density of states	4.351	states/eV/f.u.
energy	-9.933	eV per atom
volume	52.2	Å³ per cell
formation energy from the elements	0.204	eV per atom

Cell lengths 4.977, 4.977, 4.977 Å; angles 145.94, 130.15, 61.75 degrees
Element x y z (fractional)
Fe 0.261 0.761 0.500
Cr 0.486 0.486 0.000
Os 0.741 0.241 0.500
Os 0.012 0.012 0.000

---

Entry from Alexandria: a geometry-optimized Pm3Cu8Pb structure (PBE).

Properties
space-group type	R3m, No. 160
total moment	0.00	μB/f.u.
Fermi-level density of states	6.227	states/eV/f.u.
energy	-4.352	eV per atom
volume	211.8	Å³ per cell
formation energy from the elements	-0.125	eV per atom

Cell lengths 5.302, 5.302, 9.220 Å; angles 73.29, 73.29, 60.00 degrees
Element x y z (fractional)
Cu 0.436 0.944 0.183
Cu 0.688 0.688 0.936
Cu 0.937 0.435 0.690
Cu 0.436 0.436 0.183
Cu 0.188 0.188 0.436
Cu 0.944 0.436 0.183
Cu 0.435 0.937 0.690
Cu 0.937 0.937 0.690
Pm 0.997 0.997 0.009
Pm 0.377 0.377 0.869
Pm 0.501 0.501 0.497
Pb 0.873 0.873 0.382

---

Entry from Alexandria: a geometry-optimized Cs3Cd5Au2 structure (PBE).

Properties
space-group type	Ibam, No. 72
total moment	0.00	μB/f.u.
Fermi-level density of states	4.495	states/eV/f.u.
energy	-1.510	eV per atom
volume	699.8	Å³ per cell
formation energy from the elements	-0.141	eV per atom

Cell lengths 7.613, 10.501, 10.501 Å; angles 67.95, 68.74, 68.74 degrees
Element x y z (fractional)
Cd 0.501 0.749 0.749
Cd 0.620 0.258 0.502
Cd 0.001 0.749 0.749
Cd 0.999 0.251 0.251
Cd 0.380 0.742 0.498
Cd 0.250 0.500 0.500
Cd 0.499 0.251 0.251
Cd 0.880 0.498 0.742
Cd 0.750 0.500 0.500
Cd 0.120 0.502 0.258
Cs 0.750 0.000 0.000
Cs 0.868 0.869 0.396
Cs 0.632 0.604 0.131
Cs 0.368 0.396 0.869
Cs 0.250 0.000 0.000
Cs 0.132 0.131 0.604
Au 0.342 0.017 0.299
Au 0.658 0.983 0.701
Au 0.842 0.299 0.017
Au 0.158 0.701 0.983

---

Entry from Alexandria: a geometry-optimized ErSiO structure (PBE).

Properties
space-group type	R-3m, No. 166
total moment	0.00	μB/f.u.
E_form (uncorrected)	-2208	meV per atom
energy	-7.189	eV per atom
volume	101.6	Å³ per cell

Cell lengths 3.768, 3.768, 9.336 Å; angles 66.20, 66.20, 60.00 degrees
Element x y z (fractional)
Si 0.170 0.170 0.214
Si 0.583 0.583 0.094
Er 0.324 0.324 0.482
Er 0.429 0.429 0.825
O 0.614 0.614 0.547
O 0.139 0.139 0.760

---

Entry from Alexandria: a geometry-optimized Li3MgIn4 structure (PBE).

Properties
space-group type	Pmma, No. 51
total moment	0.00	μB/f.u.
Fermi-level density of states	2.248	states/eV/f.u.
energy	-2.514	eV per atom
volume	337.6	Å³ per cell
formation energy from the elements	-0.228	eV per atom

Cell lengths 5.290, 6.317, 10.103 Å; angles 90.00, 90.00, 90.00 degrees
Element x y z (fractional)
In 0.861 0.755 0.250
In 0.500 0.754 0.000
In 0.139 0.245 0.750
In 0.861 0.245 0.250
In 0.500 0.246 0.000
In 0.139 0.755 0.750
In 0.500 0.754 0.500
In 0.500 0.246 0.500
Li 0.000 0.000 0.500
Li 0.643 0.500 0.750
Li 0.646 0.000 0.750
Li 0.000 0.000 0.000
Li 0.354 0.000 0.250
Li 0.357 0.500 0.250
Mg 0.000 0.500 0.000
Mg 0.000 0.500 0.500

---

Entry from Alexandria: a geometry-optimized GaAsRh2 structure (PBE).

Properties
space-group type	P4/mmm, No. 123
total moment	0.00	μB/f.u.
Fermi-level density of states	4.244	states/eV/f.u.
energy	-5.961	eV per atom
volume	58.9	Å³ per cell
formation energy from the elements	-0.366	eV per atom

Cell lengths 3.004, 4.427, 4.427 Å; angles 90.00, 90.00, 90.00 degrees
Element x y z (fractional)
As 0.500 0.000 0.000
Rh 0.000 0.500 0.000
Rh 0.000 0.000 0.500
Ga 0.500 0.500 0.500

---

Entry from Alexandria: a geometry-optimized PaFe4C2 structure (PBE).

Properties
space-group type	P4_2/mnm, No. 136
total moment	1.99	μB/f.u.
Fermi-level density of states	7.435	states/eV/f.u.
energy	-8.827	eV per atom
volume	148.6	Å³ per cell
formation energy from the elements	0.001	eV per atom

Cell lengths 3.282, 6.730, 6.730 Å; angles 90.00, 90.00, 90.00 degrees
Element x y z (fractional)
Fe 0.500 0.834 0.422
Fe 0.500 0.422 0.834
Fe 0.000 0.334 0.078
Fe 0.000 0.078 0.334
Fe 0.000 0.922 0.666
Fe 0.000 0.666 0.922
Fe 0.500 0.578 0.166
Fe 0.500 0.166 0.578
C 0.500 0.279 0.279
C 0.000 0.779 0.221
C 0.000 0.221 0.779
C 0.500 0.721 0.721
Pa 0.500 0.000 0.000
Pa 0.000 0.500 0.500

---

Entry from Alexandria: a geometry-optimized VCr2Cl structure (PBE).

Properties
space-group type	I-42d, No. 122
total moment	1.85	μB/f.u.
E_form (uncorrected)	810	meV per atom
Fermi-level density of states	5.115	states/eV/f.u.
energy	-6.743	eV per atom
volume	113.6	Å³ per cell

Cell lengths 6.948, 6.948, 5.447 Å; angles 50.38, 50.38, 90.00 degrees
Element x y z (fractional)
Cr 0.375 0.458 0.750
Cr 0.542 0.125 0.250
Cr 0.208 0.625 0.250
Cr 0.875 0.792 0.750
V 0.000 0.000 0.000
V 0.750 0.250 0.500
Cl 0.500 0.500 0.000
Cl 0.250 0.750 0.500

---

Entry from Alexandria: a geometry-optimized BaFeIr2 structure (PBE).

Properties
space-group type	I4/mmm, No. 139
total moment	4.14	μB/f.u.
Fermi-level density of states	3.442	states/eV/f.u.
energy	-6.156	eV per atom
volume	77.2	Å³ per cell
formation energy from the elements	0.871	eV per atom

Cell lengths 5.010, 5.010, 5.010 Å; angles 127.29, 127.29, 77.78 degrees
Element x y z (fractional)
Fe 0.750 0.250 0.500
Ir 0.500 0.500 0.000
Ir 0.000 0.000 0.000
Ba 0.250 0.750 0.500

---

Entry from Alexandria: a geometry-optimized PuVRe structure (PBE).

Properties
space-group type	P3m1, No. 156
total moment	4.15	μB/f.u.
Fermi-level density of states	4.849	states/eV/f.u.
energy	-11.763	eV per atom
volume	49.3	Å³ per cell
formation energy from the elements	0.203	eV per atom

Cell lengths 2.829, 4.485, 4.485 Å; angles 120.00, 90.00, 90.00 degrees
Element x y z (fractional)
V 0.705 0.667 0.333
Re 0.309 0.333 0.667
Pu 0.986 0.000 0.000

---

Entry from Alexandria: a geometry-optimized RbAcAg2Cl8 structure (PBE).

Properties
space-group type	I-4, No. 82
total moment	0.94	μB/f.u.
E_form (uncorrected)	-1233	meV per atom
Fermi-level density of states	15.658	states/eV/f.u.
energy	-3.362	eV per atom
volume	369.4	Å³ per cell

Cell lengths 7.076, 7.076, 8.914 Å; angles 113.38, 113.38, 90.00 degrees
Element x y z (fractional)
Cl 0.703 0.289 0.833
Cl 0.455 0.297 0.167
Cl 0.131 0.545 0.833
Cl 0.352 0.975 0.383
Cl 0.025 0.969 0.617
Cl 0.711 0.869 0.167
Cl 0.031 0.408 0.383
Cl 0.592 0.648 0.617
Ag 0.250 0.750 0.500
Ag 0.500 0.500 0.000
Rb 0.000 0.000 0.000
Ac 0.750 0.250 0.500

---

Entry from Alexandria: a geometry-optimized KMgAl structure (PBE).

Properties
space-group type	Pm, No. 6
total moment	0.00	μB/f.u.
Fermi-level density of states	1.453	states/eV/f.u.
energy	-1.996	eV per atom
volume	193.8	Å³ per cell
formation energy from the elements	0.149	eV per atom

Cell lengths 3.290, 4.641, 12.780 Å; angles 90.00, 96.70, 90.00 degrees
Element x y z (fractional)
Mg 0.249 0.000 0.997
Mg 0.846 0.000 0.212
Al 0.311 0.500 0.139
Al 0.723 0.500 0.943
K 0.443 0.500 0.422
K 0.109 0.000 0.731

---

Entry from Alexandria: a geometry-optimized NaTbPrMg structure (PBE).

Properties
space-group type	F-43m, No. 216
total moment	0.00	μB/f.u.
Fermi-level density of states	6.284	states/eV/f.u.
energy	-2.931	eV per atom
volume	122.8	Å³ per cell
formation energy from the elements	0.150	eV per atom

Cell lengths 5.579, 5.579, 5.579 Å; angles 60.00, 60.00, 60.00 degrees
Element x y z (fractional)
Pr 0.000 0.000 0.000
Tb 0.500 0.500 0.500
Na 0.750 0.750 0.750
Mg 0.250 0.250 0.250

---

Entry from Alexandria: a geometry-optimized BSbSe2N structure (PBE).

Properties
space-group type	P4/mmm, No. 123
total moment	0.00	μB/f.u.
E_form (uncorrected)	248	meV per atom
Fermi-level density of states	5.974	states/eV/f.u.
energy	-4.971	eV per atom
volume	97.3	Å³ per cell

Cell lengths 5.992, 5.992, 2.710 Å; angles 90.00, 90.00, 90.00 degrees
Element x y z (fractional)
Se 0.000 0.500 0.000
Se 0.500 0.000 0.000
Sb 0.500 0.500 0.500
B 0.000 0.000 0.000
N 0.000 0.000 0.500

---

Entry from Alexandria: a geometry-optimized Li2MoOs structure (PBE).

Properties
space-group type	P4/mmm, No. 123
total moment	0.00	μB/f.u.
Fermi-level density of states	4.087	states/eV/f.u.
energy	-6.061	eV per atom
volume	58.9	Å³ per cell
formation energy from the elements	0.412	eV per atom

Cell lengths 2.538, 2.538, 9.141 Å; angles 90.00, 90.00, 90.00 degrees
Element x y z (fractional)
Li 0.000 0.000 0.516
Li 0.000 0.000 0.984
Mo 0.500 0.500 0.250
Os 0.500 0.500 0.750

---

Entry from Alexandria: a geometry-optimized TaAlRu structure (PBE).

Properties
space-group type	P3m1, No. 156
total moment	0.00	μB/f.u.
Fermi-level density of states	1.787	states/eV/f.u.
energy	-8.640	eV per atom
volume	47.1	Å³ per cell
formation energy from the elements	-0.350	eV per atom

Cell lengths 4.335, 4.335, 2.896 Å; angles 90.00, 90.00, 120.00 degrees
Element x y z (fractional)
Ta 0.667 0.333 0.619
Al 0.000 0.000 0.086
Ru 0.333 0.667 0.296

---

Entry from Alexandria: a geometry-optimized Be2SbTe structure (PBE).

Properties
space-group type	Pmm2, No. 25
total moment	0.00	μB/f.u.
E_form (uncorrected)	248	meV per atom
Fermi-level density of states	1.716	states/eV/f.u.
energy	-3.431	eV per atom
volume	88.2	Å³ per cell

Cell lengths 3.534, 3.443, 7.248 Å; angles 90.00, 90.00, 90.00 degrees
Element x y z (fractional)
Sb 0.000 0.000 0.372
Be 0.000 0.000 0.025
Be 0.500 0.500 0.216
Te 0.500 0.500 0.887